Here is a relaxed structure of CdSb2Au from Alexandria. Energies are from PBE.

Summary:
Theoretical density in g/cm³: 8.968
Calculated total energy in hartree per atom: -0.112

POSCAR file:
```
CdSb2Au
1.0
3.968 0.000 0.000
0.000 4.108 0.000
0.000 0.000 12.562
Cd Sb Au
2 4 2
Direct
0.000 0.000 0.000 Cd
0.500 0.500 0.500 Cd
0.000 0.000 0.401 Sb
0.000 0.500 0.719 Sb
0.500 0.000 0.219 Sb
0.500 0.500 0.901 Sb
0.000 0.500 0.166 Au
0.500 0.000 0.666 Au
```